Compound: LiRhCl
Source: Alexandria
Functional: PBE
Structure: optimized geometry

Cell and atoms, written as POSCAR:
```
LiRhCl
1.0
4.137 0.000 0.000
-2.068 3.583 0.000
0.000 0.000 3.130
Li Rh Cl
1 1 1
direct
0.000 0.000 0.000
0.333 0.667 0.500
0.667 0.333 0.500
```

Results
The value obtained for the formation energy from raw total energies is -0.181 eV per atom. Its crystal system is hexagonal.


Compound: LiRh2Cl
Source: Alexandria
Functional: PBE
Structure: optimized geometry

Cell and atoms, written as POSCAR:
```
LiRh2Cl
1.0
1.427 -2.504 0.000
1.427 2.504 0.000
0.000 0.000 8.451
Li Rh Cl
1 2 1
direct
0.000 0.000 0.000
0.500 0.500 0.258
0.500 0.500 0.742
0.000 0.000 0.500
```

Results
The value obtained for the formation energy from raw total energies is 0.321 eV per atom. Its crystal system is orthorhombic.


Compound: LiRhCl
Source: Alexandria
Functional: PBE
Structure: optimized geometry

Cell and atoms, written as POSCAR:
```
LiRhCl
1.0
-1.578 1.578 4.514
1.578 -1.578 4.514
1.578 1.578 -4.514
Li Rh Cl
1 1 1
direct
0.000 0.000 0.000
0.661 0.661 0.000
0.395 0.395 0.000
```

Results
The value obtained for the formation energy from raw total energies is -0.170 eV per atom. Its crystal system is tetragonal.


Compound: LiRh2Cl
Source: Alexandria
Functional: PBE
Structure: optimized geometry

Cell and atoms, written as POSCAR:
```
LiRh2Cl
1.0
3.213 0.000 0.000
0.000 3.213 0.000
0.000 0.000 6.767
Li Rh Cl
1 2 1
direct
0.000 0.000 0.000
0.000 0.000 0.455
0.500 0.500 0.290
0.500 0.500 0.897
```

Results
The value obtained for the formation energy from raw total energies is -0.157 eV per atom. Its crystal system is tetragonal.


Number 1: distance to the lowest polymorph of the same formula 0.000 eV/atom. Number 2: distance to the lowest polymorph of the same formula 0.495 eV/atom. Number 3: distance to the lowest polymorph of the same formula 0.011 eV/atom. Number 4: distance to the lowest polymorph of the same formula 0.017 eV/atom.